Li2P4WO13 | PBEsol | relaxed

Output
symmetry	P-1
mass density	3.40	Mg/m³
size of the total moment	2.00	μB per formula unit
energy relative to the elements, uncorrected	-42.26	eV per formula unit

POSCAR file:
```
Li2P4WO13
1.0
5.210 -0.031 -0.220
1.362 7.793 0.256
0.885 3.077 12.798
O P W Li
26 8 2 4
Direct
0.479 0.766 0.838
0.797 0.480 0.572
0.138 0.776 0.035
0.922 0.282 0.246
0.218 0.094 0.859
0.073 0.812 0.554
0.927 0.188 0.446
0.654 0.540 0.111
0.272 0.043 0.344
0.484 0.406 0.297
0.203 0.520 0.428
0.728 0.957 0.656
0.180 0.024 0.658
0.120 0.661 0.235
0.880 0.339 0.765
0.782 0.906 0.141
0.820 0.976 0.342
0.527 0.707 0.321
0.346 0.460 0.889
0.473 0.293 0.679
0.521 0.234 0.162
0.240 0.965 0.151
0.862 0.224 0.965
0.516 0.594 0.703
0.760 0.035 0.849
0.078 0.718 0.754
0.985 0.116 0.354
0.929 0.167 0.869
0.645 0.375 0.196
0.355 0.625 0.804
0.071 0.833 0.131
0.015 0.884 0.646
0.334 0.579 0.326
0.666 0.421 0.674
0.471 0.030 0.755
0.529 0.970 0.245
0.069 0.318 0.520
0.514 0.282 0.003
0.931 0.682 0.480
0.486 0.718 0.997
```



CaLaMgTaO6 | PBEsol | relaxed

Output
symmetry	Pc
mass density	6.52	Mg/m³
size of the total moment	0.00	μB per formula unit
energy relative to the elements, uncorrected	-31.59	eV per formula unit

POSCAR file:
```
CaLaMgTaO6
1.0
-2.169 -0.125 5.070
3.927 -3.724 1.588
4.714 5.901 2.178
La O Ta Ca Mg
2 12 2 2 2
Direct
0.990 0.293 0.248
0.490 0.707 0.748
0.412 0.219 0.244
0.696 0.536 0.052
0.196 0.464 0.552
0.787 0.046 0.045
0.799 0.038 0.451
0.094 0.723 0.256
0.287 0.954 0.545
0.299 0.962 0.951
0.594 0.277 0.756
0.912 0.781 0.744
0.710 0.554 0.453
0.210 0.446 0.953
0.500 0.247 0.998
0.000 0.753 0.498
0.012 0.201 0.751
0.512 0.799 0.251
0.999 0.750 0.000
0.499 0.250 0.500
```



LaMgSb | PBEsol | relaxed

Output
symmetry	Fmm2
mass density	5.65	Mg/m³
size of the total moment	0.00	μB per formula unit
distance to the lowest polymorph of the same formula	0.0	kJ per mole of atoms
energy relative to the elements, uncorrected	-1.49	eV per formula unit

POSCAR file:
```
LaMgSb
1.0
3.866 0.013 0.000
-0.567 3.824 0.000
-1.649 -1.919 5.666
Sb Mg La
1 1 1
Direct
0.684 0.684 0.369
0.309 0.309 0.618
0.007 0.007 0.014
```



Mg2SiP | PBEsol | relaxed

Output
symmetry	Pmm2
mass density	2.50	Mg/m³
size of the total moment	0.00	μB per formula unit
energy relative to the elements, uncorrected	0.16	eV per formula unit

POSCAR file:
```
Mg2SiP
1.0
2.848 0.000 0.000
0.000 4.449 0.000
0.000 0.000 5.654
Si P Mg
1 1 2
Direct
0.500 0.500 0.817
0.000 0.000 0.424
0.500 0.500 0.320
0.000 0.000 0.939
```



Ba2MgAu | PBEsol | relaxed

Output
symmetry	Imm2
DFT formation energy	-0.32	eV/atom
mass density	6.09	Mg/m³
size of the total moment	0.00	μB per formula unit

POSCAR file:
```
Ba2MgAu
1.0
-3.038 1.472 -2.096
2.211 -2.289 -4.812
-2.645 -4.547 4.407
Au Ba Mg
1 2 1
Direct
0.221 0.721 0.441
0.952 0.952 0.904
0.764 0.264 0.527
0.564 0.564 0.127
```



Mn4Ru5 | PBEsol | relaxed

Output
symmetry	P6_3/mcm
DFT formation energy	0.14	eV/atom
mass density	10.83	Mg/m³
size of the total moment	2.07	μB per formula unit
distance to the lowest polymorph of the same formula	0.0	kJ per mole of atoms

POSCAR file:
```
Mn4Ru5
1.0
5.146 0.000 0.000
0.000 7.065 0.000
0.000 -3.532 6.118
Ru Mn
10 8
Direct
0.750 0.000 0.675
0.250 0.325 0.000
0.750 0.325 0.325
0.500 0.667 0.333
0.250 0.000 0.325
0.750 0.675 0.000
0.000 0.333 0.667
0.000 0.667 0.333
0.500 0.333 0.667
0.250 0.675 0.675
0.000 0.000 0.000
0.250 0.000 0.664
0.750 0.336 0.000
0.500 0.000 0.000
0.750 0.000 0.336
0.750 0.664 0.664
0.250 0.664 0.000
0.250 0.336 0.336
```



KMo3S3 | PBEsol | relaxed

Output
symmetry	P6_3/m
mass density	4.87	Mg/m³
size of the total moment	0.00	μB per formula unit
energy relative to the elements, uncorrected	-5.95	eV per formula unit

POSCAR file:
```
KMo3S3
1.0
4.394 0.000 0.000
0.000 8.712 0.000
0.000 -4.356 7.545
S K Mo
6 2 6
Direct
0.250 0.061 0.353
0.750 0.353 0.292
0.750 0.708 0.061
0.750 0.939 0.647
0.250 0.292 0.939
0.250 0.647 0.708
0.250 0.667 0.333
0.750 0.333 0.667
0.250 0.189 0.157
0.250 0.968 0.811
0.750 0.032 0.189
0.250 0.843 0.032
0.750 0.157 0.968
0.750 0.811 0.843
```



ZrMoRu | PBEsol | relaxed

Output
symmetry	F-43m
DFT formation energy	1.09	eV/atom
mass density	8.38	Mg/m³
size of the total moment	1.68	μB per formula unit
distance to the lowest polymorph of the same formula	111.6	kJ per mole of atoms

POSCAR file:
```
ZrMoRu
1.0
4.323 0.000 0.000
2.161 3.744 0.000
2.161 1.248 3.530
Zr Ru Mo
1 1 1
Direct
0.250 0.250 0.250
0.500 0.500 0.500
0.000 0.000 0.000
```



Hf2ScAlN | PBEsol | relaxed

Output
symmetry	P4/mmm
mass density	6.59	Mg/m³
size of the total moment	0.43	μB per formula unit
energy relative to the elements, uncorrected	10.88	eV per formula unit

POSCAR file:
```
Hf2ScAlN
1.0
4.790 0.000 0.000
0.000 4.790 0.000
0.000 0.000 4.865
Al Sc N Hf
1 1 1 2
Direct
0.000 0.000 0.500
0.000 0.000 0.000
0.500 0.500 0.500
0.500 0.000 0.000
0.000 0.500 0.000
```



Rb2HWF | PBEsol | relaxed

Output
symmetry	P4/mmm
energy	-3.706	eV/atom
mass density	4.37	Mg/m³
size of the total moment	4.00	μB per formula unit

POSCAR file:
```
Rb2HWF
1.0
3.571 0.000 0.000
0.000 6.312 0.000
0.000 0.000 6.312
H W F Rb
1 1 1 2
Direct
0.500 0.000 0.000
0.000 0.000 0.000
0.500 0.500 0.500
0.000 0.500 0.000
0.000 0.000 0.500
```



Ta2SbTe | PBEsol | relaxed

Output
symmetry	I-4m2
mass density	12.69	Mg/m³
size of the total moment	0.00	μB per formula unit
distance to the lowest polymorph of the same formula	38.5	kJ per mole of atoms
energy relative to the elements, uncorrected	1.59	eV per formula unit

POSCAR file:
```
Ta2SbTe
1.0
-0.908 -3.380 2.620
-1.420 -2.288 -3.444
5.026 1.334 -0.184
Ta Sb Te
2 1 1
Direct
0.000 0.000 0.000
0.750 0.250 0.500
0.250 0.750 0.500
0.500 0.500 0.000
```



BaAlIr2 | PBEsol | relaxed

Output
symmetry	Pm
DFT formation energy	0.04	eV/atom
mass density	10.82	Mg/m³
size of the total moment	0.00	μB per formula unit
distance to the lowest polymorph of the same formula	0.0	kJ per mole of atoms

POSCAR file:
```
BaAlIr2
1.0
2.950 0.000 -0.022
0.000 4.320 0.000
-0.869 0.000 6.614
Ba Al Ir
1 1 2
Direct
0.233 0.500 0.757
0.632 0.000 0.421
0.593 0.500 0.203
0.042 0.000 0.119
```